! CeHf2VO8 (PBE+U, relaxed); values from VASP
! total magnetic moment	0.998	μB/cell
! symmetry	No. 2
! raw total energy	-9.128	eV/atom
&SYSTEM
  ibrav = 0, nat = 12, ntyp = 4
/
ATOMIC_SPECIES
Ce 140.12 Ce.upf
Hf 178.49 Hf.upf
V 50.94 V.upf
O 16.00 O.upf
CELL_PARAMETERS angstrom
4.871 0.000 0.000
-0.074 4.872 0.000
-0.067 -0.068 6.528
ATOMIC_POSITIONS crystal
Ce 0.000 0.000 0.000
Hf 0.497 0.497 0.262
Hf 0.503 0.503 0.738
V 0.000 0.000 0.500
O 0.191 0.190 0.713
O 0.196 0.195 0.275
O 0.300 0.699 0.500
O 0.318 0.680 0.000
O 0.682 0.320 0.000
O 0.700 0.301 0.500
O 0.804 0.805 0.725
O 0.809 0.810 0.287